The following is a DFT calculation (PBE) of a geometry-optimized Nd2Al3Pt structure.

Values from the calculation:
N(E_F): 7.9 states/eV per cell
DFT total energy: -5.209 eV per atom
E_form: -741.8 meV/atom

The structure in CIF format:
```
data_Nd2Al3Pt
_cell_length_a 5.6560
_cell_length_b 5.6560
_cell_length_c 13.4146
_cell_angle_alpha 90.00
_cell_angle_beta 90.00
_cell_angle_gamma 120.00
_symmetry_space_group_name_H-M 'R -3 m'
_symmetry_Int_Tables_number 166
_symmetry_space_group_name_Hall '-R 3 2"'
loop_
_atom_site_label
_atom_site_fract_x
_atom_site_fract_y
_atom_site_fract_z
Nd1 0.0000 0.0000 0.1248
Al1 0.0000 0.5000 0.0000
Pt1 0.0000 0.0000 0.5000
```


The following is a DFT calculation (PBE) of a geometry-optimized Ca3TiRu structure.

Values from the calculation:
N(E_F): 11.3 states/eV per cell
DFT total energy: -3.967 eV per atom
E above lowest polymorph: 0 meV per atom
E_form: 668.2 meV/atom

The structure in CIF format:
```
data_Ca3TiRu
_cell_length_a 5.396
_cell_length_b 5.396
_cell_length_c 5.396
_cell_angle_alpha 90.00
_cell_angle_beta 90.00
_cell_angle_gamma 90.00
_symmetry_space_group_name_H-M 'P m -3 m'
_symmetry_Int_Tables_number 221
_symmetry_space_group_name_Hall '-P 4 2 3'
loop_
_atom_site_label
_atom_site_fract_x
_atom_site_fract_y
_atom_site_fract_z
Ca1 0.000 0.000 0.500
Ti1 0.500 0.500 0.500
Ru1 0.000 0.000 0.000
```


Which of these has the highest E_form? Ca3TiRu


DFT total energy of number 1 (Nd2Al3Pt)? -5.209 eV per atom